Record 1
First-principles (PBE) data for AlAsAu2 after structural relaxation, as listed in the Alexandria database. Values from VASP.

## Properties
As for the formation energy: -0.065 eV per atom. As for the symmetry: Cmmm, No. 65. The value obtained for the energy above the lowest structure with this stoichiometry is 26.6 meV per atom.

Geometry as Quantum ESPRESSO input:
```
&SYSTEM
  ibrav = 0, nat = 4, ntyp = 3
/
ATOMIC_SPECIES
As 74.92 As.upf
Au 196.97 Au.upf
Al 26.98 Al.upf
ATOMIC_POSITIONS angstrom
As -0.352 -4.860 -0.027
Au 0.006 -0.033 -0.016
Au 0.421 -2.488 -1.230
Al -0.779 -2.339 1.219
CELL_PARAMETERS angstrom
-1.984 -2.157 3.684
-2.087 -2.334 -2.490
2.940 -2.707 -0.002
```

---

Record 2
First-principles (PBE) data for AlAsAu2 after structural relaxation, as listed in the Alexandria database. Values from VASP.

## Properties
As for the formation energy: 0.101 eV per atom. As for the symmetry: F-43m, No. 216. The value obtained for the energy above the lowest structure with this stoichiometry is 192.8 meV per atom.

Geometry as Quantum ESPRESSO input:
```
&SYSTEM
  ibrav = 0, nat = 4, ntyp = 3
/
ATOMIC_SPECIES
As 74.92 As.upf
Al 26.98 Al.upf
Au 196.97 Au.upf
ATOMIC_POSITIONS angstrom
As 7.032 4.060 2.871
Al 4.688 2.707 1.914
Au 2.344 1.353 0.957
Au 0.000 0.000 0.000
CELL_PARAMETERS angstrom
4.688 0.000 0.000
2.344 4.060 0.000
2.344 1.353 3.828
```

---

Record 3
First-principles (PBE) data for Al2AsAu after structural relaxation, as listed in the Alexandria database. Values from VASP.

## Properties
As for the formation energy: -0.219 eV per atom. As for the symmetry: P2/m, No. 10.

Geometry as Quantum ESPRESSO input:
```
&SYSTEM
  ibrav = 0, nat = 4, ntyp = 3
/
ATOMIC_SPECIES
As 74.92 As.upf
Au 196.97 Au.upf
Al 26.98 Al.upf
ATOMIC_POSITIONS angstrom
As -1.203 -5.142 2.945
Au -0.778 -1.446 2.144
Al 0.000 0.000 0.000
Al -0.425 -3.696 0.801
CELL_PARAMETERS angstrom
-2.145 -2.103 -2.197
1.294 -5.289 3.799
-1.556 -2.891 4.287
```

---

Record 4
First-principles (PBE) data for Al2AsAu after structural relaxation, as listed in the Alexandria database. Values from VASP.

## Properties
As for the formation energy: -0.048 eV per atom. As for the symmetry: C2/m, No. 12.

Geometry as Quantum ESPRESSO input:
```
&SYSTEM
  ibrav = 0, nat = 4, ntyp = 3
/
ATOMIC_SPECIES
Al 26.98 Al.upf
As 74.92 As.upf
Au 196.97 Au.upf
ATOMIC_POSITIONS angstrom
Al 0.000 0.000 0.000
Al -3.663 -1.100 -1.210
As -1.728 0.534 2.582
Au -1.962 -1.673 0.813
CELL_PARAMETERS angstrom
-3.898 -3.307 -2.980
-0.027 -0.039 4.605
-3.428 1.107 0.560
```

---

Record 5
First-principles (PBE) data for AlAs2AuBr after structural relaxation, as listed in the Alexandria database. Values from VASP.

## Properties
As for the formation energy (no corrections): 527.0 meV/atom. As for the symmetry: P4/mmm, No. 123. The value obtained for the energy above the lowest structure with this stoichiometry is 0.0 meV per atom.

Geometry as Quantum ESPRESSO input:
```
&SYSTEM
  ibrav = 0, nat = 5, ntyp = 4
/
ATOMIC_SPECIES
As 74.92 As.upf
Au 196.97 Au.upf
Br 79.90 Br.upf
Al 26.98 Al.upf
ATOMIC_POSITIONS angstrom
As 2.472 0.000 0.000
As 0.000 2.472 0.000
Au 2.472 2.472 2.437
Br 0.000 0.000 2.437
Al 0.000 0.000 0.000
CELL_PARAMETERS angstrom
4.945 0.000 0.000
0.000 4.945 0.000
0.000 0.000 4.874
```

---

Record 6
First-principles (PBE) data for AlAs2AuBr after structural relaxation, as listed in the Alexandria database. Values from VASP.

## Properties
As for the formation energy (no corrections): 705.2 meV/atom. As for the symmetry: P4/mmm, No. 123. The value obtained for the energy above the lowest structure with this stoichiometry is 178.2 meV per atom.

Geometry as Quantum ESPRESSO input:
```
&SYSTEM
  ibrav = 0, nat = 5, ntyp = 4
/
ATOMIC_SPECIES
Br 79.90 Br.upf
Al 26.98 Al.upf
As 74.92 As.upf
Au 196.97 Au.upf
ATOMIC_POSITIONS angstrom
Br 0.000 0.000 3.051
Al 2.478 2.478 3.051
As 2.478 0.000 0.000
As 0.000 2.478 0.000
Au 0.000 0.000 0.000
CELL_PARAMETERS angstrom
4.955 0.000 0.000
0.000 4.955 0.000
0.000 0.000 6.101
```

---

Record 7
First-principles (PBE) data for Ca2AlAsAu6 after structural relaxation, as listed in the Alexandria database. Values from VASP.

## Properties
As for the formation energy: -0.499 eV per atom. As for the symmetry: Pmmn, No. 59.

Geometry as Quantum ESPRESSO input:
```
&SYSTEM
  ibrav = 0, nat = 20, ntyp = 4
/
ATOMIC_SPECIES
Au 196.97 Au.upf
Al 26.98 Al.upf
Ca 40.08 Ca.upf
As 74.92 As.upf
ATOMIC_POSITIONS angstrom
Au 4.268 9.097 0.000
Au 4.348 0.325 4.229
Au 2.872 1.151 1.971
Au 1.424 4.909 0.000
Au 4.296 4.513 4.229
Au 4.320 4.909 0.000
Au 1.396 0.325 4.229
Au 2.872 1.151 6.486
Au 0.000 8.270 2.258
Au 0.000 8.270 6.200
Au 1.448 4.513 4.229
Au 1.476 9.097 0.000
Al 2.872 2.455 4.229
Al 0.000 6.966 0.000
Ca 0.000 2.474 6.350
Ca 2.872 6.947 6.336
Ca 0.000 2.474 2.108
Ca 2.872 6.947 2.121
As 2.872 2.773 0.000
As 0.000 6.649 4.229
CELL_PARAMETERS angstrom
5.744 0.000 0.000
0.000 9.422 0.000
0.000 0.000 8.457
```

---

Record 8
First-principles (PBE) data for AlCrAs2Au after structural relaxation, as listed in the Alexandria database. Values from VASP.

## Properties
As for the formation energy: 0.873 eV per atom. As for the symmetry: P4/mmm, No. 123. The value obtained for the energy above the lowest structure with this stoichiometry is 59.3 meV per atom.

Geometry as Quantum ESPRESSO input:
```
&SYSTEM
  ibrav = 0, nat = 5, ntyp = 4
/
ATOMIC_SPECIES
Au 196.97 Au.upf
Cr 52.00 Cr.upf
As 74.92 As.upf
Al 26.98 Al.upf
ATOMIC_POSITIONS angstrom
Au 0.000 0.000 0.000
Cr -1.362 0.333 4.116
As -0.059 2.154 1.434
As -2.328 -0.670 0.911
Al 1.024 -1.151 1.770
CELL_PARAMETERS angstrom
-4.656 -1.340 1.823
2.048 -2.302 3.540
-0.117 4.308 2.869
```

---

Number 1: total magnetic moment 0.00 μB/f.u.. Number 2: total magnetic moment 0.00 μB/f.u.. Number 3: total magnetic moment 0.00 μB/f.u.. Number 4: total magnetic moment 0.00 μB/f.u.. Number 5: total magnetic moment 0.55 μB/f.u.. Number 6: total magnetic moment 1.50 μB/f.u.. Number 7: total magnetic moment 0.00 μB/f.u.. Number 8: total magnetic moment 4.11 μB/f.u..